Material: Se3Br
Method: DFT, PBE
State: relaxed Values from VASP.

Values from the calculation:
- Total moment: 0.00 μB/atom
- ΔE_f (raw): 0.0534 eV/atom
- Density: 4.81 g cm⁻³
- E: -2.98 eV/atom
- Space-group type: P2/m, No. 10

Quantum ESPRESSO input file:
```
&SYSTEM
  ibrav = 0, nat = 4, ntyp = 2
/
ATOMIC_SPECIES
Se 78.96 Se.upf
Br 79.90 Br.upf
CELL_PARAMETERS angstrom
5.0705 0.0000 0.0000
0.0000 3.8505 0.0000
-1.4467 0.0000 5.5975
ATOMIC_POSITIONS angstrom
Se 0.0000 0.0000 0.0000
Se 1.7201 1.9252 0.8539
Se 1.9038 1.9252 4.7436
Br -0.7234 0.0000 2.7987
```

Material: Ba3IrAu
Method: DFT, PBE
State: relaxed Values from VASP.

Values from the calculation:
- Total moment: 0.00 μB/atom
- Density: 7.04 g cm⁻³
- E: -3.95 eV/atom
- Space-group type: P2_1/m, No. 11

Quantum ESPRESSO input file:
```
&SYSTEM
  ibrav = 0, nat = 10, ntyp = 3
/
ATOMIC_SPECIES
Ba 137.33 Ba.upf
Ir 192.22 Ir.upf
Au 196.97 Au.upf
CELL_PARAMETERS angstrom
9.1167 0.0000 0.0000
0.0000 4.6438 0.0000
-3.4093 0.0000 8.9255
ATOMIC_POSITIONS angstrom
Ba 0.0544 1.1609 2.1378
Ba -0.3835 1.1609 8.1959
Ba 1.1735 3.4828 5.2603
Ba 4.5338 1.1609 3.6652
Ba 6.0909 3.4828 0.7296
Ba 5.6530 3.4828 6.7878
Ir -1.5708 1.1609 4.8434
Ir 7.2781 3.4828 4.0821
Au 2.7089 3.4828 1.7675
Au 2.9985 1.1609 7.1581
```

Material: YIrRu3
Method: DFT, PBE
State: relaxed Values from VASP.

Values from the calculation:
- Total moment: 0.00 μB/atom
- Density: 9.24 g cm⁻³
- E: -7.70 eV/atom
- Space-group type: Pm-3m, No. 221

Quantum ESPRESSO input file:
```
&SYSTEM
  ibrav = 0, nat = 5, ntyp = 3
/
ATOMIC_SPECIES
Y 88.91 Y.upf
Ir 192.22 Ir.upf
Ru 101.07 Ru.upf
CELL_PARAMETERS angstrom
4.7178 0.0000 0.0000
0.0000 4.7178 0.0000
0.0000 0.0000 4.7178
ATOMIC_POSITIONS angstrom
Y 0.0000 0.0000 0.0000
Ir 2.3589 2.3589 2.3589
Ru 0.0000 2.3589 2.3589
Ru 2.3589 0.0000 2.3589
Ru 2.3589 2.3589 0.0000
```

Material: ZrPdAu2Se
Method: DFT, PBE
State: relaxed Values from VASP.

Values from the calculation:
- Total moment: 0.22 μB/atom
- ΔE_f (raw): 0.4215 eV/atom
- Density: 9.91 g cm⁻³
- E: -4.33 eV/atom
- Space-group type: P4/mmm, No. 123

Quantum ESPRESSO input file:
```
&SYSTEM
  ibrav = 0, nat = 5, ntyp = 4
/
ATOMIC_SPECIES
Zr 91.22 Zr.upf
Pd 106.42 Pd.upf
Au 196.97 Au.upf
Se 78.96 Se.upf
CELL_PARAMETERS angstrom
4.9332 0.0000 0.0000
0.0000 4.9332 0.0000
0.0000 0.0000 4.6169
ATOMIC_POSITIONS angstrom
Zr 0.0000 0.0000 0.0000
Pd 2.4666 2.4666 0.0000
Au 0.0000 2.4666 2.3084
Au 2.4666 0.0000 2.3084
Se 2.4666 2.4666 2.3084
```